Record 1
The following is a PBE-GGA calculation of Pm4PrIr3 after structural relaxation, from the Alexandria database.

total DFT energy (no corrections) = -6.85 eV per atom
symmetry = No. 140

a b c (Å): 6.2158 8.6191 8.6191
angles (deg): 82.53 68.86 68.86
Fractional positions:
Pm: 0.2919 0.1235 0.2928
Pm: 0.2081 0.7072 0.8765
Pm: 0.0846 0.1235 0.7072
Pm: 0.4154 0.2928 0.8765
Pm: 0.9154 0.8765 0.2928
Pm: 0.5846 0.7072 0.1235
Pm: 0.7081 0.8765 0.7072
Pm: 0.7919 0.2928 0.1235
Pr: 0.2500 0.5000 0.5000
Pr: 0.7500 0.5000 0.5000
Ir: 0.6577 0.1845 0.5000
Ir: 0.7500 0.0000 0.0000
Ir: 0.2500 0.0000 0.0000
Ir: 0.1577 0.5000 0.1845
Ir: 0.3423 0.8155 0.5000
Ir: 0.8423 0.5000 0.8155

Record 2
The following is a PBE-GGA calculation of ZnInNiPd after structural relaxation, from the Alexandria database.

total DFT energy (no corrections) = -4.04 eV per atom
symmetry = No. 216

a b c (Å): 4.4194 4.4194 4.4194
angles (deg): 60.00 60.00 60.00
Fractional positions:
Pd: 0.7500 0.7500 0.7500
Zn: 0.5000 0.5000 0.5000
In: 0.0000 0.0000 0.0000
Ni: 0.2500 0.2500 0.2500

Record 3
The following is a PBE-GGA calculation of PmSm2Pu after structural relaxation, from the Alexandria database.

E above lowest polymorph = 0.0 meV per atom
symmetry = No. 123

a b c (Å): 3.5595 3.5595 10.2162
angles (deg): 90.00 90.00 90.00
Each line ends with the local moment (μB).
Fractional positions:
Pu: 0.5000 0.5000 0.5000  5.61
Sm: 0.0000 0.0000 0.2589  0.07
Sm: 0.0000 0.0000 0.7411  0.07
Pm: 0.5000 0.5000 0.0000  -0.03

Record 4
The following is a PBE-GGA calculation of BaPb3Au after structural relaxation, from the Alexandria database.

total DFT energy (no corrections) = -3.37 eV per atom
symmetry = No. 221

a b c (Å): 5.6921 5.6921 5.6921
angles (deg): 90.00 90.00 90.00
Fractional positions:
Pb: 0.0000 0.0000 0.5000
Pb: 0.0000 0.5000 0.0000
Pb: 0.5000 0.0000 0.0000
Au: 0.0000 0.0000 0.0000
Ba: 0.5000 0.5000 0.5000

Record 5
The following is a PBE-GGA calculation of Rb3LiBe after structural relaxation, from the Alexandria database.

E above lowest polymorph = 0.0 meV per atom
symmetry = No. 221

a b c (Å): 6.7806 6.7806 6.7806
angles (deg): 90.00 90.00 90.00
Fractional positions:
Be: 0.0000 0.0000 0.0000
Li: 0.5000 0.5000 0.5000
Rb: 0.0000 0.0000 0.5000
Rb: 0.5000 0.0000 0.0000
Rb: 0.0000 0.5000 0.0000

Record 6
The following is a PBE-GGA calculation of PuTlPb after structural relaxation, from the Alexandria database.

E above lowest polymorph = 0.0 meV per atom
symmetry = No. 107

a b c (Å): 3.6156 3.6156 7.0656
angles (deg): 104.82 104.82 90.00
Each line ends with the local moment (μB).
Fractional positions:
Tl: 0.3355 0.3355 0.6709  0.03
Pu: 0.6680 0.6680 0.3360  5.74
Pb: 0.9966 0.9966 0.9931  0.00

Record 7
The following is a PBE-GGA calculation of Tl3SnF8 after structural relaxation, from the Alexandria database.

uncorrected formation energy = -2.010 eV per atom
symmetry = No. 121

a b c (Å): 6.2930 6.9776 6.2930
angles (deg): 63.20 90.00 116.80
Fractional positions:
Tl: 0.2500 0.5000 0.2500
Tl: 0.5000 0.0000 0.5000
Tl: 0.7500 0.5000 0.7500
F: 0.7182 0.8659 0.8523
F: 0.9902 0.6654 0.0098
F: 0.1477 0.8659 0.2818
F: 0.0098 0.3346 0.6751
F: 0.6751 0.6654 0.3249
F: 0.3249 0.3346 0.9902
F: 0.8523 0.1341 0.1477
F: 0.2818 0.1341 0.7182
Sn: 0.0000 0.0000 0.0000

Record 8
The following is a PBE-GGA calculation of Be2CrTc after structural relaxation, from the Alexandria database.

E above lowest polymorph = 186.4 meV per atom
symmetry = No. 99

a b c (Å): 2.6148 2.6148 6.3128
angles (deg): 90.00 90.00 90.00
Each line ends with the local moment (μB).
Fractional positions:
Be: 0.5000 0.5000 0.2217  -0.02
Be: 0.0000 0.0000 0.0397  0.01
Tc: 0.5000 0.5000 0.7751  0.30
Cr: 0.0000 0.0000 0.4635  1.21

| no. | magnetization (μB/cell) |
| --- | --- |
| 1 | 0.0 |
| 2 | 0.0 |
| 3 | 6.4 |
| 4 | 0.0 |
| 5 | 0.0 |
| 6 | 6.3 |
| 7 | 0.0 |
| 8 | 1.6 |